Entry 1:
Entry from Alexandria via LeMat-Bulk: crystalline Ag4P5 at its relaxed geometry (PBE).

```
data_Ag4P5
_chemical_formula_sum 'Ag8 P10'
_cell_length_a 9.846
_cell_length_b 9.846
_cell_length_c 3.187
_cell_angle_alpha 90.00
_cell_angle_beta 90.00
_cell_angle_gamma 90.00
_space_group_name_H-M_alt 'I 4/m m m'
_space_group_IT_number 139
_space_group_name_Hall '-I 4 2'
loop_
_atom_site_label
_atom_site_type_symbol
_atom_site_fract_x
_atom_site_fract_y
_atom_site_fract_z
Ag1 Ag 0.000 0.323 0.000
P1 P 0.000 0.000 0.000
P2 P 0.190 0.190 0.500
```

Computed properties:
Energy of formation from the pure elements   0.450 eV/atom
D(E_F)   8.9 states/eV per cell
ΔE to the lowest computed polymorph   0 meV per atom
Raw total energy   -34.4 eV per formula unit

Entry 2:
Entry from Alexandria via LeMat-Bulk: crystalline CsLaIO2 at its relaxed geometry (PBE).

```
data_CsLaIO2
_chemical_formula_sum 'Cs1 La1 I1 O2'
_cell_length_a 4.832
_cell_length_b 4.832
_cell_length_c 6.726
_cell_angle_alpha 90.00
_cell_angle_beta 90.00
_cell_angle_gamma 90.00
_space_group_name_H-M_alt 'P 4/m m m'
_space_group_IT_number 123
_space_group_name_Hall '-P 4 2'
loop_
_atom_site_label
_atom_site_type_symbol
_atom_site_fract_x
_atom_site_fract_y
_atom_site_fract_z
Cs1 Cs 0.000 0.000 0.000
La1 La 0.500 0.500 0.500
I1 I 0.500 0.500 0.000
O1 O 0.000 0.500 0.500
```

Computed properties:
Raw formation energy   -169.9 kJ per mole of atoms
D(E_F)   2.0 states/eV per cell
ΔE to the lowest computed polymorph   0 meV per atom
Raw total energy   -26.1 eV per formula unit

Entry 3:
Entry from Alexandria via LeMat-Bulk: crystalline SmPb3 at its relaxed geometry (PBE).

```
data_SmPb3
_chemical_formula_sum 'Sm2 Pb6'
_cell_length_a 4.673
_cell_length_b 4.673
_cell_length_c 10.931
_cell_angle_alpha 90.00
_cell_angle_beta 90.00
_cell_angle_gamma 90.00
_space_group_name_H-M_alt 'I 4/m m m'
_space_group_IT_number 139
_space_group_name_Hall '-I 4 2'
loop_
_atom_site_label
_atom_site_type_symbol
_atom_site_fract_x
_atom_site_fract_y
_atom_site_fract_z
Sm1 Sm 0.000 0.000 0.000
Pb1 Pb 0.000 0.000 0.500
Pb2 Pb 0.000 0.500 0.250
```

Computed properties:
Energy of formation from the pure elements   -0.304 eV/atom
D(E_F)   4.7 states/eV per cell
Raw total energy   -17.1 eV per formula unit

Entry 4:
Entry from Alexandria via LeMat-Bulk: crystalline NiAgPd2 at its relaxed geometry (PBE).

```
data_NiAgPd2
_chemical_formula_sum 'Ni3 Ag3 Pd6'
_cell_length_a 2.7951
_cell_length_b 2.7951
_cell_length_c 26.6966
_cell_angle_alpha 90.00
_cell_angle_beta 90.00
_cell_angle_gamma 120.00
_space_group_name_H-M_alt 'R -3 m'
_space_group_IT_number 166
_space_group_name_Hall '-R 3 2"'
loop_
_atom_site_label
_atom_site_type_symbol
_atom_site_fract_x
_atom_site_fract_y
_atom_site_fract_z
Ni1 Ni 0.0000 0.0000 0.0000
Ag1 Ag 0.0000 0.0000 0.5000
Pd1 Pd 0.0000 0.0000 0.2566
```

Computed properties:
Energy of formation from the pure elements   0.048 eV/atom
D(E_F)   17.5 states/eV per cell
ΔE to the lowest computed polymorph   33 meV per atom
Raw total energy   -18.8 eV per formula unit

Question: What is the raw total energy in the second record?
Answer: -26.1 eV per formula unit

Question: Number 4 is which compound?
Answer: NiAgPd2